The following is a DFT calculation (PBE) of crystalline Sr2LiZnH at its relaxed geometry.

The calculation puts the electronic total energy at -2.09 eV/atom. The total magnetization comes out at 0.0 μB/cell. The value obtained for the volume is 24.97 Å³/atom. The value obtained for the density is 3.3 g/cm3.

The structure belongs to space group P4/mmm (No. 123); the cell edges are 5.377, 5.377 and 4.318 Å and the angles 90.00°, 90.00° and 90.00°. Symmetry generates all atoms from Sr at (0.000, 0.500, 0.000), Li at (0.000, 0.000, 0.500), Zn at (0.500, 0.500, 0.500) and H at (0.500, 0.500, 0.000).


The following is a DFT calculation (PBE) of crystalline SrLi2ZnH at its relaxed geometry.

The calculation puts the electronic total energy at -2.14 eV/atom. The total magnetization comes out at 0.0 μB/cell. The value obtained for the volume is 20.21 Å³/atom. The value obtained for the density is 2.8 g/cm3.

The structure belongs to space group P4/mmm (No. 123); the cell edges are 4.468, 4.468 and 5.060 Å and the angles 90.00°, 90.00° and 90.00°. Symmetry generates all atoms from Sr at (0.000, 0.000, 0.000), Li at (0.000, 0.500, 0.500), Zn at (0.500, 0.500, 0.000) and H at (0.000, 0.000, 0.500).


The following is a DFT calculation (PBE) of crystalline SrLiZrH2 at its relaxed geometry.

The calculation puts the electronic total energy at -3.02 eV/atom. The total magnetization comes out at 3.0 μB/cell. The value obtained for the volume is 22.49 Å³/atom. The value obtained for the density is 2.8 g/cm3.

The structure belongs to space group P4/mmm (No. 123); the cell edges are 4.345, 4.345 and 5.956 Å and the angles 90.00°, 90.00° and 90.00°. Symmetry generates all atoms from Sr at (0.000, 0.000, 0.000), Li at (0.000, 0.000, 0.500), Zr at (0.500, 0.500, 0.500) and H at (0.000, 0.500, 0.000).


The following is a DFT calculation (PBE) of crystalline LiTaH2 at its relaxed geometry.

The calculation puts the electronic total energy at -4.77 eV/atom. The total magnetization comes out at 0.0 μB/cell. The value obtained for the volume is 7.93 Å³/atom. The value obtained for the density is 9.9 g/cm3.

The structure belongs to space group Fm-3m (No. 225); the cell edges are 5.025, 5.025 and 5.025 Å and the angles 90.00°, 90.00° and 90.00°. Symmetry generates all atoms from Li at (0.000, 0.000, 0.000), Ta at (0.000, 0.000, 0.500) and H at (0.250, 0.250, 0.250).


The following is a DFT calculation (PBE) of crystalline LiTa2H8 at its relaxed geometry.

The calculation puts the electronic total energy at -4.86 eV/atom. The total magnetization comes out at 0.0 μB/cell. The value obtained for the volume is 7.33 Å³/atom. The value obtained for the density is 7.8 g/cm3.

The structure belongs to space group C2/m (No. 12); the cell edges are 8.767, 5.800 and 3.357 Å and the angles 90.00°, 109.17° and 90.00°. Symmetry generates all atoms from Li at (0.000, 0.000, 0.000), Ta at (0.169, 0.500, 0.400), H at (0.056, 0.500, 0.800), H at (0.136, 0.177, 0.466) and H at (0.222, 0.000, 0.012).


The following is a DFT calculation (PBE) of crystalline LiTa2H at its relaxed geometry.

The calculation puts the electronic total energy at -6.62 eV/atom. The total magnetization comes out at 0.0 μB/cell. The value obtained for the volume is 16.98 Å³/atom. The value obtained for the density is 9.0 g/cm3.

The structure belongs to space group I-42d (No. 122); the cell edges are 5.803, 5.803 and 8.069 Å and the angles 90.00°, 90.00° and 90.00°. Symmetry generates all atoms from Li at (0.000, 0.000, 0.000), Ta at (0.038, 0.250, 0.625) and H at (0.000, 0.000, 0.500).


The following is a DFT calculation (PBE) of crystalline LiTa2H at its relaxed geometry.

The calculation puts the electronic total energy at -6.44 eV/atom. The total magnetization comes out at 0.0 μB/cell. The value obtained for the volume is 12.85 Å³/atom. The value obtained for the density is 11.9 g/cm3.

The structure belongs to space group Fm-3m (No. 225); the cell edges are 5.902, 5.902 and 5.902 Å and the angles 90.00°, 90.00° and 90.00°. Symmetry generates all atoms from Li at (0.000, 0.000, 0.000), Ta at (0.250, 0.250, 0.250) and H at (0.000, 0.000, 0.500).


The following is a DFT calculation (PBE) of crystalline LiTaH3 at its relaxed geometry.

The calculation puts the electronic total energy at -4.92 eV/atom. The total magnetization comes out at 0.0 μB/cell. The value obtained for the volume is 8.38 Å³/atom. The value obtained for the density is 7.6 g/cm3.

The structure belongs to space group Cmce (No. 64); the cell edges are 10.428, 7.078 and 4.544 Å and the angles 90.00°, 90.00° and 90.00°. Symmetry generates all atoms from Li at (0.000, 0.133, 0.209), Ta at (0.250, 0.132, 0.750), H at (0.124, 0.205, 0.474) and H at (0.125, 0.000, 0.000).


The following is a DFT calculation (PBE) of crystalline LiTaH2 at its relaxed geometry.

The calculation puts the electronic total energy at -5.06 eV/atom. The total magnetization comes out at 0.0 μB/cell. The value obtained for the volume is 9.81 Å³/atom. The value obtained for the density is 8.0 g/cm3.

The structure belongs to space group I-42d (No. 122); the cell edges are 4.256, 4.256 and 8.662 Å and the angles 90.00°, 90.00° and 90.00°. Symmetry generates all atoms from Li at (0.000, 0.000, 0.000), Ta at (0.000, 0.000, 0.500) and H at (0.242, 0.250, 0.125).


The following is a DFT calculation (PBE) of crystalline Li3Ta5H12 at its relaxed geometry.

The calculation puts the electronic total energy at -5.38 eV/atom. The total magnetization comes out at 0.0 μB/cell. The value obtained for the volume is 8.44 Å³/atom. The value obtained for the density is 9.2 g/cm3.

The structure belongs to space group Ia-3d (No. 230); the cell edges are 11.055, 11.055 and 11.055 Å and the angles 90.00°, 90.00° and 90.00°. Symmetry generates all atoms from Li at (0.000, 0.250, 0.125), Ta at (0.000, 0.000, 0.000), Ta at (0.000, 0.250, 0.375) and H at (0.003, 0.061, 0.159).


The following is a DFT calculation (PBE) of crystalline LiTaH at its relaxed geometry.

The calculation puts the electronic total energy at -5.77 eV/atom. The total magnetization comes out at 0.0 μB/cell. The value obtained for the volume is 12.49 Å³/atom. The value obtained for the density is 8.4 g/cm3.

The structure belongs to space group R-3m (No. 166, hexagonal axes); the cell edges are 2.9375, 2.9375 and 30.0760 Å and the angles 90.00°, 90.00° and 120.00°. Symmetry generates all atoms from Li at (0.0000, 0.0000, 0.1255), Ta at (0.0000, 0.0000, 0.2917) and H at (0.0000, 0.0000, 0.4137).


The following is a DFT calculation (PBE) of crystalline LiTaH3 at its relaxed geometry.

The calculation puts the electronic total energy at -4.52 eV/atom. The total magnetization comes out at 0.0 μB/cell. The value obtained for the volume is 6.85 Å³/atom. The value obtained for the density is 9.3 g/cm3.

The structure belongs to space group Pm-3m (No. 221); the cell edges are 3.248, 3.248 and 3.248 Å and the angles 90.00°, 90.00° and 90.00°. Symmetry generates all atoms from Li at (0.000, 0.000, 0.000), Ta at (0.500, 0.500, 0.500) and H at (0.000, 0.000, 0.500).


The following is a DFT calculation (PBE) of crystalline Li3TaH6 at its relaxed geometry.

The calculation puts the electronic total energy at -4.03 eV/atom. The total magnetization comes out at 0.0 μB/cell. The value obtained for the volume is 7.90 Å³/atom. The value obtained for the density is 4.4 g/cm3.

The structure belongs to space group Pnnm (No. 58); the cell edges are 5.541, 9.759 and 2.921 Å and the angles 90.00°, 90.00° and 90.00°. Symmetry generates all atoms from Li at (0.000, 0.000, 0.000), Li at (0.192, 0.266, 0.500), Ta at (0.000, 0.500, 0.000), H at (0.005, 0.700, 0.000), H at (0.179, 0.914, 0.500) and H at (0.186, 0.577, 0.500).


The following is a DFT calculation (PBE) of crystalline Li2TaH6 at its relaxed geometry.

The calculation puts the electronic total energy at -3.71 eV/atom. The total magnetization comes out at 3.7 μB/cell. The value obtained for the volume is 10.27 Å³/atom. The value obtained for the density is 3.6 g/cm3.

The structure belongs to space group Fm-3m (No. 225); the cell edges are 7.177, 7.177 and 7.177 Å and the angles 90.00°, 90.00° and 90.00°. Symmetry generates all atoms from Li at (0.250, 0.250, 0.250), Ta at (0.000, 0.000, 0.000) and H at (0.000, 0.000, 0.260).


The following is a DFT calculation (PBE) of crystalline LiTaH4 at its relaxed geometry.

The calculation puts the electronic total energy at -4.78 eV/atom. The total magnetization comes out at 0.0 μB/cell. The value obtained for the volume is 7.45 Å³/atom. The value obtained for the density is 7.1 g/cm3.

The structure belongs to space group P4/mmm (No. 123); the cell edges are 2.989, 2.989 and 5.006 Å and the angles 90.00°, 90.00° and 90.00°. Symmetry generates all atoms from Li at (0.000, 0.000, 0.000), Ta at (0.500, 0.500, 0.500) and H at (0.000, 0.500, 0.253).


The following is a DFT calculation (PBE) of crystalline LiTaH3 at its relaxed geometry.

The calculation puts the electronic total energy at -4.65 eV/atom. The total magnetization comes out at 0.0 μB/cell. The value obtained for the volume is 9.79 Å³/atom. The value obtained for the density is 6.5 g/cm3.

The structure belongs to space group Pm-3m (No. 221); the cell edges are 3.658, 3.658 and 3.658 Å and the angles 90.00°, 90.00° and 90.00°. Symmetry generates all atoms from Li at (0.000, 0.000, 0.000), Ta at (0.500, 0.500, 0.500) and H at (0.000, 0.500, 0.500).


The following is a DFT calculation (PBE) of crystalline Li2TaH6 at its relaxed geometry.

The calculation puts the electronic total energy at -4.09 eV/atom. The total magnetization comes out at 0.0 μB/cell. The value obtained for the volume is 8.53 Å³/atom. The value obtained for the density is 4.3 g/cm3.

The structure belongs to space group C2/m (No. 12); the cell edges are 9.912, 3.074 and 5.975 Å and the angles 90.00°, 122.50° and 90.00°. Symmetry generates all atoms from Li at (0.174, 0.000, 0.122), Ta at (0.000, 0.000, 0.500), H at (0.023, 0.000, 0.207), H at (0.118, 0.500, 0.507) and H at (0.211, 0.000, 0.807).


The following is a DFT calculation (PBE) of crystalline LiTaH2 at its relaxed geometry.

The calculation puts the electronic total energy at -5.24 eV/atom. The total magnetization comes out at 0.0 μB/cell. The value obtained for the volume is 9.55 Å³/atom. The value obtained for the density is 8.3 g/cm3.

The structure belongs to space group R-3m (No. 166, hexagonal axes); the cell edges are 2.9489, 2.9489 and 15.2222 Å and the angles 90.00°, 90.00° and 120.00°. Symmetry generates all atoms from Li at (0.0000, 0.0000, 0.0000), Ta at (0.0000, 0.0000, 0.5000) and H at (0.0000, 0.0000, 0.2380).


The following is a DFT calculation (PBE) of crystalline LiTa2ZnH at its relaxed geometry.

The calculation puts the electronic total energy at -5.98 eV/atom. The total magnetization comes out at 0.0 μB/cell. The value obtained for the volume is 13.07 Å³/atom. The value obtained for the density is 11.1 g/cm3.

The structure belongs to space group P4/mmm (No. 123); the cell edges are 4.040, 4.040 and 4.002 Å and the angles 90.00°, 90.00° and 90.00°. Symmetry generates all atoms from Li at (0.000, 0.000, 0.000), Ta at (0.000, 0.500, 0.500), Zn at (0.500, 0.500, 0.000) and H at (0.000, 0.000, 0.500).


The following is a DFT calculation (PBE) of crystalline LiZr2TaH at its relaxed geometry.

The calculation puts the electronic total energy at -6.82 eV/atom. The total magnetization comes out at 0.0 μB/cell. The value obtained for the volume is 15.75 Å³/atom. The value obtained for the density is 7.8 g/cm3.

The structure belongs to space group P4/mmm (No. 123); the cell edges are 4.652, 4.652 and 3.639 Å and the angles 90.00°, 90.00° and 90.00°. Symmetry generates all atoms from Li at (0.000, 0.000, 0.000), Zr at (0.000, 0.500, 0.500), Ta at (0.500, 0.500, 0.000) and H at (0.000, 0.000, 0.500).